[1]
Ho2TmBi | Alexandria via LeMat-Bulk | PBE-GGA | relaxed; ΔE_f = -0.382 eV/atom; total energy = -4.76 eV per atom; space group = No. 11
1.0
4.634 0.000 0.000
0.000 4.581 0.000
-2.318 0.000 11.181
Ho Tm Bi
4 2 2
direct
0.059 0.250 0.119 Ho
0.439 0.250 0.878 Ho
0.561 0.750 0.122 Ho
0.941 0.750 0.881 Ho
0.311 0.750 0.622 Tm
0.689 0.250 0.378 Tm
0.171 0.750 0.342 Bi
0.829 0.250 0.658 Bi



[2]
Tb3GeSeCl | Alexandria via LeMat-Bulk | PBE-GGA | relaxed; uncorrected formation energy = -1.30 eV/atom; total energy = -5.27 eV per atom; space group = No. 11
1.0
8.370 0.000 0.000
0.000 4.065 0.000
-0.342 0.000 10.061
Tb Ge Se Cl
6 2 2 2
direct
0.116 0.250 0.351 Tb
0.160 0.250 0.914 Tb
0.373 0.750 0.633 Tb
0.627 0.250 0.367 Tb
0.840 0.750 0.086 Tb
0.884 0.750 0.649 Tb
0.131 0.250 0.639 Ge
0.869 0.750 0.361 Ge
0.372 0.750 0.343 Se
0.628 0.250 0.657 Se
0.375 0.750 0.915 Cl
0.625 0.250 0.085 Cl



[3]
CoTe6Pt2 | Alexandria via LeMat-Bulk | PBE-GGA | relaxed; uncorrected formation energy = -0.07 eV/atom; total energy = -4.29 eV per atom; space group = No. 136
1.0
6.162 0.000 0.000
0.000 6.162 0.000
0.000 0.000 12.446
Co Te Pt
2 12 4
direct
0.000 0.000 0.000 Co
0.500 0.500 0.500 Co
0.188 0.188 0.158 Te
0.188 0.188 0.842 Te
0.202 0.202 0.500 Te
0.298 0.702 0.000 Te
0.312 0.688 0.342 Te
0.312 0.688 0.658 Te
0.688 0.312 0.342 Te
0.688 0.312 0.658 Te
0.702 0.298 0.000 Te
0.798 0.798 0.500 Te
0.812 0.812 0.158 Te
0.812 0.812 0.842 Te
0.000 0.000 0.333 Pt
0.000 0.000 0.667 Pt
0.500 0.500 0.167 Pt
0.500 0.500 0.833 Pt



[4]
FeRuPt2 | Alexandria via LeMat-Bulk | PBE-GGA | relaxed; ΔE_f = -0.057 eV/atom; total energy = -7.51 eV per atom; space group = No. 119
1.0
3.886 0.000 0.000
0.000 3.886 0.000
0.000 0.000 7.628
Fe Ru Pt
2 2 4
direct
0.000 0.000 0.000 Fe
0.500 0.500 0.500 Fe
0.000 0.500 0.750 Ru
0.500 0.000 0.250 Ru
0.000 0.000 0.500 Pt
0.000 0.500 0.250 Pt
0.500 0.000 0.750 Pt
0.500 0.500 0.000 Pt



[5]
YCrAs2 | Alexandria via LeMat-Bulk | PBE-GGA | relaxed; ΔE_f = 0.016 eV/atom; total energy = -6.33 eV per atom; space group = No. 216
1.0
6.859 0.000 0.000
0.000 6.859 0.000
0.000 0.000 6.859
Y Cr As
4 4 8
direct
0.000 0.000 0.000 Y
0.000 0.500 0.500 Y
0.500 0.000 0.500 Y
0.500 0.500 0.000 Y
0.250 0.250 0.750 Cr
0.250 0.750 0.250 Cr
0.750 0.250 0.250 Cr
0.750 0.750 0.750 Cr
0.000 0.000 0.500 As
0.000 0.500 0.000 As
0.250 0.250 0.250 As
0.250 0.750 0.750 As
0.500 0.000 0.000 As
0.500 0.500 0.500 As
0.750 0.250 0.750 As
0.750 0.750 0.250 As



[6]
Ce3SnPt6 | Alexandria via LeMat-Bulk | PBE-GGA | relaxed; ΔE_f = -0.544 eV/atom; total energy = -6.35 eV per atom; space group = No. 160
1.0
5.852 3.379 1.946
-5.852 3.379 1.946
0.000 -6.757 1.946
Ce Sn Pt
3 1 6
direct
0.211 0.211 0.578 Ce
0.211 0.578 0.211 Ce
0.578 0.211 0.211 Ce
0.657 0.657 0.657 Sn
0.097 0.097 0.853 Pt
0.097 0.853 0.097 Pt
0.116 0.626 0.626 Pt
0.626 0.116 0.626 Pt
0.626 0.626 0.116 Pt
0.853 0.097 0.097 Pt



[7]
Al2SiNi | Alexandria via LeMat-Bulk | PBE-GGA | relaxed; uncorrected formation energy = -0.29 eV/atom; total energy = -4.96 eV per atom; space group = No. 156
1.0
3.882 0.000 0.000
-1.941 3.362 0.000
0.000 0.000 4.802
Al Si Ni
2 1 1
direct
0.000 0.000 0.000 Al
0.333 0.667 0.653 Al
0.667 0.333 0.332 Si
0.333 0.667 0.162 Ni



[8]
MgTa2Ag | Alexandria via LeMat-Bulk | PBE-GGA | relaxed; ΔE_f = 0.096 eV/atom; total energy = -6.94 eV per atom; space group = No. 35
1.0
3.487 0.000 0.000
0.000 4.556 0.000
0.000 0.000 9.314
Mg Ta Ag
2 4 2
direct
0.000 0.000 0.000 Mg
0.500 0.500 0.000 Mg
0.000 0.000 0.497 Ta
0.000 0.500 0.734 Ta
0.500 0.000 0.734 Ta
0.500 0.500 0.497 Ta
0.000 0.500 0.244 Ag
0.500 0.000 0.244 Ag



[9]
Zn2FeH2 | Alexandria via LeMat-Bulk | PBE-GGA | relaxed; total energy = -3.18 eV per atom; space group = No. 139
1.0
2.747 0.000 0.000
0.000 2.747 0.000
0.000 0.000 12.743
Zn Fe H
4 2 4
direct
0.000 0.000 0.142 Zn
0.000 0.000 0.858 Zn
0.500 0.500 0.358 Zn
0.500 0.500 0.642 Zn
0.000 0.000 0.500 Fe
0.500 0.500 0.000 Fe
0.000 0.500 0.250 H
0.000 0.500 0.750 H
0.500 0.000 0.250 H
0.500 0.000 0.750 H



[10]
Sc4CdCu2Ag | Alexandria via LeMat-Bulk | PBE-GGA | relaxed; ΔE_f = -0.236 eV/atom; total energy = -4.90 eV per atom; space group = No. 166
1.0
2.395 1.383 7.817
-2.395 1.383 7.817
0.000 -2.765 7.817
Sc Cd Cu Ag
4 1 2 1
direct
0.123 0.123 0.123 Sc
0.373 0.373 0.373 Sc
0.627 0.627 0.627 Sc
0.877 0.877 0.877 Sc
0.500 0.500 0.500 Cd
0.247 0.247 0.247 Cu
0.753 0.753 0.753 Cu
0.000 0.000 0.000 Ag



[11]
NaAsCSe2 | Alexandria via LeMat-Bulk | PBE-GGA | relaxed; uncorrected formation energy = 2.17 eV/atom; total energy = -2.26 eV per atom; space group = No. 123
1.0
5.097 0.000 0.000
0.000 5.097 0.000
0.000 0.000 5.050
Na As C Se
1 1 1 2
direct
0.000 0.000 0.000 Na
0.000 0.000 0.500 As
0.500 0.500 0.500 C
0.000 0.500 0.000 Se
0.500 0.000 0.000 Se



[12]
TeOs4Cl | Alexandria via LeMat-Bulk | PBE-GGA | relaxed; uncorrected formation energy = 1.43 eV/atom; total energy = -6.89 eV per atom; space group = No. 216
1.0
0.000 3.766 3.766
3.766 0.000 3.766
3.766 3.766 0.000
Te Os Cl
1 4 1
direct
0.000 0.000 0.000 Te
0.374 0.374 0.374 Os
0.374 0.374 0.877 Os
0.374 0.877 0.374 Os
0.877 0.374 0.374 Os
0.750 0.750 0.750 Cl



| no. | D(E_F) (states/eV/cell) |
| --- | --- |
| 1 | 7.64 |
| 2 | 6.95 |
| 3 | 21.59 |
| 4 | 8.54 |
| 5 | 14.03 |
| 6 | 11.61 |
| 7 | 1.18 |
| 8 | 6.53 |
| 9 | 4.64 |
| 10 | 6.75 |
| 11 | 6.49 |
| 12 | 10.05 |